Arrangement A

A geometry-optimized KRe3Rh structure. Source: Alexandria, functional PBE.

The density comes out at 13.421 g/cm³. Its space group is Pm-3m. The total moment is 0.00 μB per atom. The value obtained for the density of states at the Fermi level is 7.75 states/eV per cell.

Cell: 4.4257 4.4257 4.4257 Å, 90.00 90.00 90.00°
Sites, in units of the cell vectors:
Re (0.0000, 0.5000, 0.0000)
Re (0.0000, 0.0000, 0.5000)
Re (0.5000, 0.0000, 0.0000)
K (0.0000, 0.0000, 0.0000)
Rh (0.5000, 0.5000, 0.5000)

Arrangement B

A geometry-optimized KRe3Rh structure. Source: Alexandria, functional PBE.

The density comes out at 10.378 g/cm³. Its space group is Pm-3m. The total moment is 0.57 μB per atom. The value obtained for the density of states at the Fermi level is 7.08 states/eV per cell.

Cell: 4.8218 4.8218 4.8218 Å, 90.00 90.00 90.00°
Site moments in Bohr magnetons follow the coordinates.
Sites, in units of the cell vectors:
Re (0.0000, 0.5000, 0.0000)  0.86
Re (0.0000, 0.0000, 0.5000)  0.88
Re (0.5000, 0.0000, 0.0000)  0.66
K (0.5000, 0.5000, 0.5000)  0.01
Rh (0.0000, 0.0000, 0.0000)  0.03

What should be chosen as the least stable of them? Choose arrangement A.

Arrangement A

A geometry-optimized KReRu2 structure. Source: Alexandria, functional PBE.

The density comes out at 10.261 g/cm³. Its space group is R-3m. The total moment is 0.00 μB per atom. The value obtained for the density of states at the Fermi level is 3.37 states/eV per cell.

Cell: 10.2478 10.2478 10.2478 Å, 15.76 15.76 15.76°
Sites, in units of the cell vectors:
K (0.2500, 0.2500, 0.2500)
Re (0.7500, 0.7500, 0.7500)
Ru (0.0141, 0.0141, 0.0141)
Ru (0.4859, 0.4859, 0.4859)

Arrangement B

A geometry-optimized KReRu2 structure. Source: Alexandria, functional PBE.

The density comes out at 8.558 g/cm³. Its space group is Pmm2. The total moment is 0.00 μB per atom. The value obtained for the density of states at the Fermi level is 5.31 states/eV per cell.

Cell: 2.6993 3.8633 7.9530 Å, 90.00 90.00 90.00°
Sites, in units of the cell vectors:
K (0.0000, 0.0000, 0.4948)
Re (0.5000, 0.5000, 0.8515)
Ru (0.0000, 0.0000, 0.9870)
Ru (0.5000, 0.5000, 0.1667)

Arrangement C

A geometry-optimized KReRu2 structure. Source: Alexandria, functional PBE.

The density comes out at 9.597 g/cm³. Its space group is P4/mmm. The total moment is 0.00 μB per atom. The value obtained for the density of states at the Fermi level is 7.70 states/eV per cell.

Cell: 2.8385 2.8385 9.1797 Å, 90.00 90.00 90.00°
Sites, in units of the cell vectors:
K (0.5000, 0.5000, 0.2500)
Re (0.5000, 0.5000, 0.7500)
Ru (0.0000, 0.0000, 0.9389)
Ru (0.0000, 0.0000, 0.5611)

What should be chosen as the least stable of them? Choose arrangement B.

Arrangement A

A geometry-optimized KReRu2 structure. Source: Alexandria, functional PBE.

The density comes out at 10.742 g/cm³. Its space group is P4/mmm. The total moment is 0.04 μB per atom. The value obtained for the density of states at the Fermi level is 5.88 states/eV per cell.

Cell: 2.8763 4.7929 4.7929 Å, 90.00 90.00 90.00°
Site moments in Bohr magnetons follow the coordinates.
Sites, in units of the cell vectors:
K (0.5000, 0.5000, 0.0000)  0.00
Re (0.5000, 0.0000, 0.5000)  -0.02
Ru (0.0000, 0.0000, 0.0000)  0.08
Ru (0.0000, 0.5000, 0.5000)  0.08

Arrangement B

A geometry-optimized KReRu2 structure. Source: Alexandria, functional PBE.

The density comes out at 10.307 g/cm³. Its space group is Cmmm. The total moment is 0.00 μB per atom. The value obtained for the density of states at the Fermi level is 4.70 states/eV per cell.

Cell: 2.7524 2.7524 10.1424 Å, 90.00 90.00 116.33°
Sites, in units of the cell vectors:
K (0.5000, 0.5000, 0.2500)
Re (0.5000, 0.5000, 0.7500)
Ru (0.0000, 0.0000, 0.9642)
Ru (0.0000, 0.0000, 0.5358)

Arrangement C

A geometry-optimized KReRu2 structure. Source: Alexandria, functional PBE.

The density comes out at 10.010 g/cm³. Its space group is Imm2. The total moment is 0.00 μB per atom. The value obtained for the density of states at the Fermi level is 4.24 states/eV per cell.

Cell: 5.9604 5.9604 5.9604 Å, 153.89 130.05 57.22°
Sites, in units of the cell vectors:
K (0.5022, 0.5022, 0.0000)
Re (0.2129, 0.7129, 0.5000)
Ru (0.9984, 0.9984, 0.0000)
Ru (0.7865, 0.2865, 0.5000)

What should be chosen as the least stable of them? Choose arrangement A.

Arrangement A

A geometry-optimized KRe3Ru structure. Source: Alexandria, functional PBE.

The density comes out at 13.522 g/cm³. Its space group is Pm-3m. The total moment is 0.00 μB per atom. The value obtained for the density of states at the Fermi level is 6.01 states/eV per cell.

Cell: 4.4108 4.4108 4.4108 Å, 90.00 90.00 90.00°
Sites, in units of the cell vectors:
Re (0.0000, 0.5000, 0.0000)
Re (0.0000, 0.0000, 0.5000)
Re (0.5000, 0.0000, 0.0000)
K (0.0000, 0.0000, 0.0000)
Ru (0.5000, 0.5000, 0.5000)

Arrangement B

A geometry-optimized KRe3Ru structure. Source: Alexandria, functional PBE.

The density comes out at 10.471 g/cm³. Its space group is Pm-3m. The total moment is 0.53 μB per atom. The value obtained for the density of states at the Fermi level is 4.90 states/eV per cell.

Cell: 4.8032 4.8032 4.8032 Å, 90.00 90.00 90.00°
Site moments in Bohr magnetons follow the coordinates.
Sites, in units of the cell vectors:
Re (0.0000, 0.5000, 0.0000)  0.82
Re (0.0000, 0.0000, 0.5000)  0.87
Re (0.5000, 0.0000, 0.0000)  0.60
K (0.5000, 0.5000, 0.5000)  0.01
Ru (0.0000, 0.0000, 0.0000)  -0.03

What should be chosen as the least stable of them? Choose arrangement A.